Entry 1:
Density functional theory data (PBE) for Ga2SbH6 after structural relaxation.

a b c (Å): 5.409 5.409 5.409
angles (deg): 60.00 60.00 60.00
Atoms (fractional coordinates):
1 Ga 0.250 0.250 0.250
2 Ga 0.750 0.750 0.750
3 Sb 0.000 0.000 0.000
4 H 0.244 0.244 0.756
5 H 0.244 0.756 0.244
6 H 0.244 0.756 0.756
7 H 0.756 0.244 0.244
8 H 0.756 0.244 0.756
9 H 0.756 0.756 0.244

E in eV per atom: -2.759
Volume in A^3/atom: 12.44

Entry 2:
Density functional theory data (PBE) for Pu3InSi2Au6 after structural relaxation.

a b c (Å): 7.766 7.766 7.299
angles (deg): 90.00 90.00 120.00
Atoms (fractional coordinates):
1 Pu 0.000 0.000 0.000
2 Pu 0.333 0.667 0.190
3 Pu 0.667 0.333 0.810
4 In 0.000 0.000 0.500
5 Si 0.333 0.667 0.580
6 Si 0.667 0.333 0.420
7 Au 0.087 0.543 0.829
8 Au 0.457 0.543 0.829
9 Au 0.457 0.913 0.829
10 Au 0.543 0.087 0.171
11 Au 0.543 0.457 0.171
12 Au 0.913 0.457 0.171

E in eV per atom: -6.062
Volume in A^3/atom: 31.77

Question: Among the records above, which one has the highest volume?
Answer: Pu3InSi2Au6